Compound: NaCBr3
Source: Alexandria via LeMat-Bulk
Functional: SCAN
Structure: PBEsol geometry

Cell and atoms, written as POSCAR:
```
NaCBr3
1.0
5.3309 0.0000 0.0000
0.0000 5.3309 0.0000
0.0000 0.0000 5.3309
Na C Br
1 1 3
Cartesian
0.0000 0.0000 0.0000
2.6655 2.6655 2.6655
0.0000 2.6655 0.0000
0.0000 0.0000 2.6655
2.6655 0.0000 0.0000
```

Values from the calculation:
Crystal system ... cubic
DOS at the Fermi energy ... 6.0 states/eV per cell
Size of the total moment ... 0.01 μB/cell
Uncorrected formation energy ... 1.215 eV per atom

---

Compound: KAlPb
Source: Alexandria via LeMat-Bulk
Functional: SCAN
Structure: PBEsol geometry

Cell and atoms, written as POSCAR:
```
KAlPb
1.0
3.4317 0.0000 0.0000
0.0000 3.4317 0.0000
-1.7159 -1.7159 7.4027
Pb K Al
1 1 1
Cartesian
0.0000 0.0000 5.2343
1.7159 1.7159 2.3921
1.7159 1.7159 7.1789
```

Values from the calculation:
Crystal system ... tetragonal
Energy of formation ... 0.10 eV/f.u.
DOS at the Fermi energy ... 1.2 states/eV per cell
Size of the total moment ... 0.00 μB/cell

---

Compound: RuPt2W
Source: Alexandria via LeMat-Bulk
Functional: SCAN
Structure: PBEsol geometry

Cell and atoms, written as POSCAR:
```
RuPt2W
1.0
4.3900 0.0000 0.0000
2.1950 3.8019 0.0000
2.1950 1.2673 3.5844
Pt Ru W
2 1 1
Cartesian
2.1950 1.2673 0.8961
6.5850 3.8019 2.6883
0.0000 0.0000 0.0000
4.3900 2.5346 1.7922
```

Values from the calculation:
Crystal system ... cubic
Energy of formation ... 1.05 eV/f.u.
DOS at the Fermi energy ... 5.0 states/eV per cell
Size of the total moment ... 0.00 μB/cell
Distance to the lowest polymorph of the same formula ... 492 meV per atom

---

Compound: V6O11F
Source: Alexandria via LeMat-Bulk
Functional: SCAN
Structure: PBEsol geometry

Cell and atoms, written as POSCAR:
```
V6O11F
1.0
-0.1901 1.8391 2.1306
2.3026 -4.3965 4.0005
7.9807 5.2923 -3.8563
V O F
6 11 1
Cartesian
10.1168 0.8393 0.1781
7.0226 0.7427 1.8530
1.1083 -1.2611 3.0550
6.1988 2.1002 -1.2598
4.1578 -1.1797 1.3892
3.1682 2.0252 0.4021
8.9051 1.3806 1.4704
0.6894 -1.2964 1.1806
1.6309 -3.0941 2.8163
5.3902 3.3726 -2.4304
3.4965 0.1610 0.1730
7.2675 3.4141 -0.4311
5.2895 0.1556 2.2052
4.8175 2.5840 0.0669
2.8731 -0.6631 2.6963
6.7659 0.7459 -0.0402
4.8885 -2.4968 2.5914
1.1101 1.3279 0.8204
```

Values from the calculation:
Crystal system ... orthorhombic
DOS at the Fermi energy ... 6.9 states/eV per cell
Size of the total moment ... 7.00 μB/cell
Uncorrected formation energy ... -2.702 eV per atom
Distance to the lowest polymorph of the same formula ... 9 meV per atom

---

Compound: AlIrPt
Source: Alexandria via LeMat-Bulk
Functional: SCAN
Structure: PBEsol geometry

Cell and atoms, written as POSCAR:
```
AlIrPt
1.0
2.7994 0.0000 0.0000
-1.3997 2.4243 0.0000
0.0000 0.0000 6.2957
Ir Al Pt
1 1 1
Cartesian
0.0000 1.6162 4.3465
0.0000 0.0000 6.2799
1.3997 0.8081 1.9652
```

Values from the calculation:
Crystal system ... trigonal
Energy of formation ... -2.03 eV/f.u.
DOS at the Fermi energy ... 0.7 states/eV per cell
Size of the total moment ... 0.00 μB/cell
Distance to the lowest polymorph of the same formula ... 0 meV per atom

---

Compound: Cs2NaPrF6
Source: Alexandria via LeMat-Bulk
Functional: SCAN
Structure: PBEsol geometry

Cell and atoms, written as POSCAR:
```
Cs2NaPrF6
1.0
-1.6900 -5.2465 -3.4134
-0.3775 -5.7796 2.9132
-5.7807 -2.7720 0.9656
Pr Cs F Na
1 2 6 1
Cartesian
0.0000 0.0000 0.0000
-5.8861 -10.3486 0.3491
-1.9620 -3.4495 0.1164
-2.1407 -6.3361 1.5806
-4.8577 -4.8238 0.6013
-2.9905 -8.9743 -0.1358
-5.0475 -7.7300 2.0662
-5.7075 -7.4620 -1.1151
-2.8007 -6.0681 -1.6007
-3.9241 -6.8991 0.2328
```

Values from the calculation:
Crystal system ... cubic
DOS at the Fermi energy ... 0.0 states/eV per cell
Size of the total moment ... 0.22 μB/cell
Uncorrected formation energy ... -3.480 eV per atom

---

Compound: MgHg2As2
Source: Alexandria via LeMat-Bulk
Functional: SCAN
Structure: PBEsol geometry

Cell and atoms, written as POSCAR:
```
MgHg2As2
1.0
3.6394 0.0000 0.0000
0.0000 3.6394 0.0000
-1.8197 -1.8197 8.4850
Mg As Hg
1 2 2
Cartesian
0.0000 0.0000 0.0000
0.0000 1.8197 4.2425
1.8197 0.0000 4.2425
0.0000 0.0000 6.8529
1.8197 1.8197 1.6321
```

Values from the calculation:
Crystal system ... tetragonal
Energy of formation ... 0.34 eV/f.u.
DOS at the Fermi energy ... 1.7 states/eV per cell
Size of the total moment ... 0.00 μB/cell

---

Compound: BeAgN2F
Source: Alexandria via LeMat-Bulk
Functional: SCAN
Structure: PBEsol geometry

Cell and atoms, written as POSCAR:
```
BeAgN2F
1.0
3.5772 0.0000 0.0000
0.0000 3.5772 0.0000
0.0000 0.0000 3.5471
Be N Ag F
1 2 1 1
Cartesian
0.0000 0.0000 0.0000
0.0000 1.7886 0.0000
1.7886 0.0000 0.0000
1.7886 1.7886 1.7735
0.0000 0.0000 1.7735
```

Values from the calculation:
Crystal system ... tetragonal
DOS at the Fermi energy ... 1.5 states/eV per cell
Size of the total moment ... 2.27 μB/cell
Uncorrected formation energy ... 0.391 eV per atom

---

Compound: CrAsRu2
Source: Alexandria via LeMat-Bulk
Functional: SCAN
Structure: PBEsol geometry

Cell and atoms, written as POSCAR:
```
CrAsRu2
1.0
-0.3419 -2.4840 -1.3205
2.7509 -0.0168 -0.6807
1.3556 -3.1401 5.5560
As Cr Ru
1 1 2
Cartesian
1.2045 -1.2504 -1.0006
1.8823 -2.8205 1.7774
1.0195 -2.3615 4.1784
0.3361 -0.7786 1.3777
```

Values from the calculation:
Crystal system ... tetragonal
Energy of formation ... 0.23 eV/f.u.
DOS at the Fermi energy ... 3.4 states/eV per cell
Size of the total moment ... 0.00 μB/cell

---

Compound: K2CaZrH16C8O24
Source: Alexandria via LeMat-Bulk
Functional: SCAN
Structure: PBEsol geometry

Cell and atoms, written as POSCAR:
```
K2CaZrH16C8O24
1.0
8.7007 0.0000 0.0000
4.3503 8.0272 0.0000
4.3503 0.0000 8.0272
C Ca H K O Zr
8 1 16 2 24 1
Cartesian
10.4609 1.8067 1.7441
10.4609 6.2204 6.2831
11.2908 1.7441 6.2204
11.2908 6.2831 1.8067
9.0329 2.1055 2.1964
9.0329 5.9217 5.8308
12.7188 2.1964 5.9217
12.7188 5.8308 2.1055
10.8759 4.0136 4.0136
4.0835 2.7827 1.2067
12.7842 5.2445 6.8205
8.9675 1.2067 5.2445
8.9675 6.8205 2.7827
5.4016 3.4192 0.5503
14.1022 4.6080 7.4769
7.6495 0.5503 4.6080
7.6495 7.4769 3.4192
7.5867 4.5690 0.5866
7.5867 3.4582 7.4406
5.4643 0.5866 3.4582
14.1650 7.4406 4.5690
6.2877 5.2709 1.1787
6.2877 2.7563 6.8485
6.7633 1.1787 2.7563
6.7633 6.8485 5.2709
4.3503 0.0000 0.0000
6.5255 4.0136 4.0136
1.8446 0.9195 0.8333
10.5453 7.1077 7.1938
11.2064 0.8333 7.1077
11.2065 7.1938 0.9195
8.1351 1.4279 1.5608
8.1351 6.5992 6.4664
4.9160 1.5608 6.5992
4.9160 6.4664 1.4279
2.7005 2.4351 2.2741
11.4012 5.5920 5.7530
10.3505 2.2741 5.5920
10.3505 5.7530 2.4351
8.8452 2.9276 3.1012
8.8452 5.0996 4.9259
12.9066 3.1012 5.0996
12.9066 4.9259 2.9276
4.5550 2.9152 0.3455
13.2556 5.1119 7.6817
8.4961 0.3455 5.1119
8.4961 7.6817 2.9152
6.7200 4.3899 1.0682
6.7200 3.6373 6.9590
6.3310 1.0682 3.6373
6.3310 6.9590 4.3899
0.0000 0.0000 0.0000
```

Values from the calculation:
Crystal system ... tetragonal
Total DFT energy (no corrections) ... -418.593 eV/cell
DOS at the Fermi energy ... 0.0 states/eV per cell
Size of the total moment ... 0.00 μB/cell

---

Compound: Ba2CrCd
Source: Alexandria via LeMat-Bulk
Functional: SCAN
Structure: PBEsol geometry

Cell and atoms, written as POSCAR:
```
Ba2CrCd
1.0
3.8923 0.0000 0.0000
0.0000 3.8923 0.0000
0.0000 0.0000 9.2907
Ba Cd Cr
2 1 1
Cartesian
0.0000 0.0000 8.6439
1.9461 1.9461 2.9981
0.0000 0.0000 5.2558
1.9461 1.9461 6.3290
```

Values from the calculation:
Crystal system ... tetragonal
Energy of formation ... 0.49 eV/f.u.
DOS at the Fermi energy ... 2.7 states/eV per cell
Size of the total moment ... 4.60 μB/cell

---

Compound: MnZn2Fe
Source: Alexandria via LeMat-Bulk
Functional: SCAN
Structure: PBEsol geometry

Cell and atoms, written as POSCAR:
```
MnZn2Fe
1.0
-0.8697 -1.9957 -1.4695
3.8071 -1.7421 0.1127
-1.1311 -2.2333 3.6914
Zn Mn Fe
2 1 1
Cartesian
-1.8430 -3.8824 2.2467
0.8100 -3.2740 -0.1464
0.6885 -3.3749 2.3997
-0.8504 -1.7830 1.1674
```

Values from the calculation:
Crystal system ... monoclinic
Energy of formation ... -0.32 eV/f.u.
DOS at the Fermi energy ... 2.1 states/eV per cell
Size of the total moment ... 5.61 μB/cell
Distance to the lowest polymorph of the same formula ... 49 meV per atom

---

Compound: ZrAlIr2
Source: Alexandria via LeMat-Bulk
Functional: SCAN
Structure: PBEsol geometry

Cell and atoms, written as POSCAR:
```
ZrAlIr2
1.0
-0.2075 3.7376 1.5458
-1.2466 -1.5316 3.5358
8.8529 -1.7253 0.0546
Ir Al Zr
4 2 2
Cartesian
1.0361 -0.2162 3.7508
1.5727 2.1110 2.6286
6.4067 -1.0812 0.8216
5.7821 0.1477 3.0715
3.9592 1.5576 2.0706
-0.7271 1.1030 2.5408
3.4396 -1.0770 3.0656
0.0000 0.0000 0.0000
```

Values from the calculation:
Crystal system ... tetragonal
Energy of formation ... -1.10 eV/f.u.
DOS at the Fermi energy ... 7.4 states/eV per cell
Size of the total moment ... 0.00 μB/cell

---

Compound: PbBr2
Source: Alexandria via LeMat-Bulk
Functional: SCAN
Structure: PBEsol geometry

Cell and atoms, written as POSCAR:
```
PbBr2
1.0
4.5008 0.0000 0.0000
0.0000 7.0420 0.0000
0.0000 0.0000 7.0420
Pb Br
2 4
Cartesian
0.0000 0.0000 0.0000
2.2504 3.5210 3.5210
0.0000 2.1165 2.1165
0.0000 4.9255 4.9255
2.2504 1.4045 5.6375
2.2504 5.6375 1.4045
```

Values from the calculation:
Crystal system ... tetragonal
DOS at the Fermi energy ... 0.0 states/eV per cell
Size of the total moment ... 0.00 μB/cell
Uncorrected formation energy ... -0.922 eV per atom

---

Compound: MgMnPS2
Source: Alexandria via LeMat-Bulk
Functional: SCAN
Structure: PBEsol geometry

Cell and atoms, written as POSCAR:
```
MgMnPS2
1.0
-2.8541 1.8030 2.5713
-3.2808 -0.5849 -3.2315
-1.0185 -4.1613 1.7873
P S Mn Mg
1 2 1 1
Cartesian
-1.4271 0.9015 1.2856
-0.5093 -2.0807 0.8937
-1.6404 -0.2925 -1.6157
0.0000 0.0000 0.0000
-3.5767 -1.4716 0.5636
```

Values from the calculation:
Crystal system ... tetragonal
DOS at the Fermi energy ... 1.4 states/eV per cell
Size of the total moment ... 2.64 μB/cell
Uncorrected formation energy ... -0.119 eV per atom

---

Compound: LiTlMo2
Source: Alexandria via LeMat-Bulk
Functional: SCAN
Structure: PBEsol geometry

Cell and atoms, written as POSCAR:
```
LiTlMo2
1.0
-0.9071 -2.2269 -1.3444
0.8349 -0.8030 2.4995
-8.7214 1.5025 3.3958
Li Mo Tl
1 2 1
Cartesian
-0.0361 -1.5149 0.5776
-2.1486 0.3701 0.8366
-6.5728 1.1323 2.5592
-4.3968 -0.7637 2.2755
```

Values from the calculation:
Crystal system ... orthorhombic
Energy of formation ... 3.21 eV/f.u.
DOS at the Fermi energy ... 2.1 states/eV per cell
Size of the total moment ... 0.00 μB/cell
Distance to the lowest polymorph of the same formula ... 289 meV per atom

---

Compound: Mg5Ag4
Source: Alexandria via LeMat-Bulk
Functional: SCAN
Structure: PBEsol geometry

Cell and atoms, written as POSCAR:
```
Mg5Ag4
1.0
-1.9178 4.8346 2.4713
-5.5693 -4.3107 4.1109
7.3758 1.2711 3.2373
Ag Mg
8 10
Cartesian
0.0000 0.0000 0.0000
-0.9589 2.4173 1.2356
1.2796 4.0943 3.0464
-3.4906 2.0375 3.3683
-0.2975 1.7064 6.4939
4.1785 2.0114 2.6622
-3.9965 -1.5136 3.2139
0.1862 0.0886 3.3256
3.7502 4.5201 4.1307
-5.3561 0.5936 4.7453
-0.9027 2.7246 4.0326
1.7078 1.5856 1.5778
-2.1310 -0.0697 1.8369
0.7914 -0.9295 5.7870
3.0608 -0.5895 3.5285
-2.2132 -0.0328 5.0554
-1.2543 -2.4501 3.8197
2.1019 1.8278 4.7641
```

Values from the calculation:
Crystal system ... hexagonal
Energy of formation ... -1.99 eV/f.u.
DOS at the Fermi energy ... 4.2 states/eV per cell
Size of the total moment ... 0.00 μB/cell
Distance to the lowest polymorph of the same formula ... 0 meV per atom

---

Compound: LiMnCl2
Source: Alexandria via LeMat-Bulk
Functional: SCAN
Structure: PBEsol geometry

Cell and atoms, written as POSCAR:
```
LiMnCl2
1.0
3.4452 0.0000 0.0000
0.0000 3.4558 0.0000
0.0000 0.0000 6.2206
Cl Li Mn
2 1 1
Cartesian
0.0000 0.0000 0.0000
1.7226 0.0000 3.1103
1.7226 1.7279 0.0000
0.0000 1.7279 3.1103
```

Values from the calculation:
Crystal system ... orthorhombic
DOS at the Fermi energy ... 1.5 states/eV per cell
Size of the total moment ... 4.27 μB/cell
Uncorrected formation energy ... -1.030 eV per atom

---

Compound: LiMoHS2
Source: Alexandria via LeMat-Bulk
Functional: SCAN
Structure: PBEsol geometry

Cell and atoms, written as POSCAR:
```
LiMoHS2
1.0
3.0242 0.0000 0.0000
0.0000 4.4318 0.0000
0.0000 0.0000 4.4318
H Mo S Li
1 1 2 1
Cartesian
1.5121 0.0000 0.0000
1.5121 2.2159 2.2159
0.0000 0.0000 2.2159
0.0000 2.2159 0.0000
0.0000 0.0000 0.0000
```

Values from the calculation:
Crystal system ... tetragonal
Total DFT energy (no corrections) ... -58.480 eV/cell
DOS at the Fermi energy ... 2.8 states/eV per cell
Size of the total moment ... 2.27 μB/cell

---

Compound: GaSnS2Cl
Source: Alexandria via LeMat-Bulk
Functional: SCAN
Structure: PBEsol geometry

Cell and atoms, written as POSCAR:
```
GaSnS2Cl
1.0
-1.9706 -4.1175 0.9186
1.6931 0.1766 4.4233
-3.9463 2.2060 1.4224
S Sn Ga Cl
2 1 1 1
Cartesian
-1.9732 1.1030 0.7112
0.8465 0.0883 2.2117
-2.1119 -0.8675 3.3822
0.0000 0.0000 0.0000
-0.9853 -2.0588 0.4593
```

Values from the calculation:
Crystal system ... tetragonal
DOS at the Fermi energy ... 0.6 states/eV per cell
Size of the total moment ... 0.00 μB/cell
Uncorrected formation energy ... -0.322 eV per atom

---

Compound: BaIClO2
Source: Alexandria via LeMat-Bulk
Functional: SCAN
Structure: PBEsol geometry

Cell and atoms, written as POSCAR:
```
BaIClO2
1.0
4.6345 0.0000 0.0000
0.0000 4.6345 0.0000
0.0000 0.0000 4.9244
I Ba O Cl
1 1 2 1
Cartesian
0.0000 0.0000 2.4622
2.3172 2.3172 2.4622
0.0000 2.3172 0.0000
2.3172 0.0000 0.0000
0.0000 0.0000 0.0000
```

Values from the calculation:
Crystal system ... tetragonal
DOS at the Fermi energy ... 1.8 states/eV per cell
Size of the total moment ... 0.40 μB/cell
Uncorrected formation energy ... -0.246 eV per atom
Distance to the lowest polymorph of the same formula ... 19 meV per atom

---

Compound: Fe3Mo6RhN2
Source: Alexandria via LeMat-Bulk
Functional: SCAN
Structure: PBEsol geometry

Cell and atoms, written as POSCAR:
```
Fe3Mo6RhN2
1.0
6.6427 0.0000 0.0384
0.0000 6.6408 0.0000
0.0110 0.0000 6.6512
Fe Mo Rh N
6 12 2 4
Cartesian
2.1261 5.4388 3.7863
4.5276 2.1184 2.9033
2.8933 0.4532 2.1789
6.1420 2.8500 1.3015
3.7604 3.7736 4.5107
0.5117 6.1704 5.3881
6.3226 4.1389 3.6453
0.3312 0.8185 3.0442
3.0098 5.8086 6.3440
3.6440 2.4882 0.3456
2.5418 1.3702 4.6687
5.8017 1.9724 5.3426
0.8520 5.2928 1.3470
4.1119 4.6906 2.0209
5.2742 0.3351 0.8898
4.6843 6.3205 4.1778
1.3796 3.6555 5.7997
1.9695 3.0001 2.5117
5.4317 4.5388 6.2420
1.2221 1.2184 0.4476
0.8399 2.4784 4.1781
5.8138 5.7988 2.5115
4.1659 0.8195 5.8607
2.4879 4.1399 0.8289
```

Values from the calculation:
Crystal system ... monoclinic
DOS at the Fermi energy ... 14.3 states/eV per cell
Size of the total moment ... 14.99 μB/cell
Uncorrected formation energy ... -0.208 eV per atom

---

Compound: DyBr3
Source: Alexandria via LeMat-Bulk
Functional: SCAN
Structure: PBEsol geometry

Cell and atoms, written as POSCAR:
```
DyBr3
1.0
-1.5201 0.1903 -3.3542
5.3315 -7.8995 -2.8644
-9.0166 -1.2727 4.0140
Br Dy
6 2
Cartesian
-4.4141 -5.5063 0.6745
-3.0721 -2.1662 0.2559
-6.3556 -2.6297 1.7176
-0.7911 -3.4756 -2.8791
-2.1331 -6.8157 -2.4605
1.1503 -6.3522 -3.9222
-5.3740 -3.3389 -0.7944
0.1688 -5.6430 -1.4101
```

Values from the calculation:
Crystal system ... hexagonal
DOS at the Fermi energy ... 0.0 states/eV per cell
Size of the total moment ... 0.00 μB/cell
Uncorrected formation energy ... -1.987 eV per atom